Entry 1:
First-principles (PBE-GGA) data for a geometry-optimized BaTl2Cu structure, as listed in Alexandria via LeMat-Bulk.

Lattice parameters (Å, degrees): 7.7402 7.7402 7.7402 90.00 90.00 90.00
Last column: nearest neighbours and their distance in Å.
Space group Fm-3m (No. 225)
Inequivalent atoms, fractional coordinates:
Ba1 0.0000 0.0000 0.0000 x4  8 Tl 3.35
Tl1 0.2500 0.2500 0.2500 x8  4 Ba 3.35, 4 Cu 3.35
Cu1 0.0000 0.0000 0.5000 x4  8 Tl 3.35

Computed properties:
* formation energy: 0.05 eV per atom

Entry 2:
First-principles (PBE-GGA) data for a geometry-optimized LaNd3Sm2Te6 structure, as listed in Alexandria via LeMat-Bulk.

Lattice parameters (Å, degrees): 19.5758 4.4803 9.0274 90.00 103.25 90.00
Last column: nearest neighbours and their distance in Å.
Space group C2/m (No. 12)
Inequivalent atoms, fractional coordinates:
La1 0.0000 0.0000 0.0000 x2  6 Te 3.20-3.22
Nd1 0.0000 0.0000 0.5000 x2  6 Te 3.16-3.19
Nd2 0.1647 0.5000 0.8308 x4  6 Te 3.17-3.21
Sm1 0.1674 0.5000 0.3337 x4  6 Te 3.14-3.17
Te1 0.0024 0.5000 0.2543 x4  1 Sm 3.14, 3 Nd 3.16-3.18, 2 La 3.20
Te2 0.1675 0.0000 0.5801 x4  3 Sm 3.15-3.16, 3 Nd 3.19
Te3 0.1689 0.0000 0.0867 x4  2 Sm 3.17, 3 Nd 3.17-3.21, 1 La 3.22

Computed properties:
* formation energy (no corrections): -1439 meV/atom

Entry 3:
First-principles (PBE-GGA) data for a geometry-optimized Ba2LiTm structure, as listed in Alexandria via LeMat-Bulk.

Lattice parameters (Å, degrees): 3.7556 3.7556 39.6851 90.00 90.00 120.00
Last column: nearest neighbours and their distance in Å.
Space group R-3m (No. 166, hexagonal axes)
Inequivalent atoms, fractional coordinates:
Ba1 0.0000 0.0000 0.0889 x6  1 Tm 3.53, 6 Ba 3.76, 3 Li 3.77
Li1 0.0000 0.0000 0.5000 x3  6 Li 3.76, 6 Ba 3.77
Tm1 0.0000 0.0000 0.0000 x3  2 Ba 3.53, 6 Tm 3.76

Computed properties:
* formation energy: 0.39 eV per atom

Entry 4:
First-principles (PBE-GGA) data for a geometry-optimized ReMoAs2 structure, as listed in Alexandria via LeMat-Bulk.

Lattice parameters (Å, degrees): 3.2491 3.2491 5.9704 90.00 90.00 90.00
Last column: nearest neighbours and their distance in Å.
Space group P4mm (No. 99)
Inequivalent atoms, fractional coordinates:
Re1 0.0000 0.0000 0.0000 x1  4 As 2.56
Mo1 0.5000 0.5000 0.6794 x1  4 As 2.54
As1 0.0000 0.0000 0.4990 x1  4 Mo 2.54
As2 0.5000 0.5000 0.1895 x1  4 Re 2.56

Computed properties:
* formation energy: 0.10 eV per atom
* energy relative to the lowest polymorph listed for this composition: 0.058 eV/atom

Entry 5:
First-principles (PBE-GGA) data for a geometry-optimized SrNi6P4 structure, as listed in Alexandria via LeMat-Bulk.

Lattice parameters (Å, degrees): 6.2708 6.2708 7.8766 90.00 90.00 90.00
Last column: nearest neighbours and their distance in Å.
Space group I-42m (No. 121)
Inequivalent atoms, fractional coordinates:
Sr1 0.0000 0.0000 0.0000 x2  4 P 2.88, 4 Ni 3.14
Ni1 0.0000 0.5000 0.0000 x4  4 P 2.56, 4 Ni 2.59
Ni2 0.1483 0.1483 0.6241 x8  4 P 2.18-2.26
P1 0.2054 0.2054 0.3467 x8  4 Ni 2.18-2.26

Computed properties:
* formation energy: -0.50 eV per atom

Entry 6:
First-principles (PBE-GGA) data for a geometry-optimized RbZnPCl2 structure, as listed in Alexandria via LeMat-Bulk.

Lattice parameters (Å, degrees): 6.1992 6.1992 7.0781 90.00 90.00 90.00
Last column: nearest neighbours and their distance in Å.
Space group P4/mmm (No. 123)
Inequivalent atoms, fractional coordinates:
Rb1 0.0000 0.0000 0.0000 x1  4 Cl 3.10
Zn1 0.5000 0.5000 0.5000 x1  4 P 4.38, 8 Cl 4.70
P1 0.0000 0.0000 0.5000 x1  2 Rb 3.54
Cl1 0.0000 0.5000 0.0000 x2  2 Rb 3.10

Computed properties:
* formation energy (no corrections): 380 meV/atom
* energy relative to the lowest polymorph listed for this composition: 1.012 eV/atom

no.,energy (eV per atom)
1,-2.6420
2,-5.3989
3,-2.1710
4,-8.0421
5,-5.7732
6,-1.8891